No. 1
! CrGe4 PBE relaxed; values from VASP
! Formation energy   474 meV per atom
! DOS at the Fermi energy   5.786 states/eV/cell
&SYSTEM
  ibrav = 0, nat = 5, ntyp = 2
/
ATOMIC_SPECIES
Ge 72.64 Ge.upf
Cr 52.00 Cr.upf
CELL_PARAMETERS angstrom
4.6786 0.0000 0.0000
0.0000 4.6786 0.0000
0.0000 0.0000 4.6786
ATOMIC_POSITIONS crystal
Ge 0.5000 0.0000 0.5000
Ge 0.0000 0.5000 0.5000
Ge 0.5000 0.5000 0.0000
Ge 0.0000 0.0000 0.0000
Cr 0.5000 0.5000 0.5000

---

No. 2
! CrGe PBE relaxed; values from VASP
! Formation energy   235 meV per atom
! DOS at the Fermi energy   12.599 states/eV/cell
&SYSTEM
  ibrav = 0, nat = 16, ntyp = 2
/
ATOMIC_SPECIES
Ge 72.64 Ge.upf
Cr 52.00 Cr.upf
CELL_PARAMETERS angstrom
9.3602 0.0000 0.0000
0.0000 9.3602 0.0000
0.0000 0.0000 2.9638
ATOMIC_POSITIONS crystal
Ge 0.7994 0.1375 0.5000
Ge 0.8625 0.7994 0.5000
Ge 0.7006 0.3625 0.0000
Ge 0.2994 0.6375 0.0000
Ge 0.6375 0.7006 0.0000
Ge 0.1375 0.2006 0.5000
Ge 0.3625 0.2994 0.0000
Ge 0.2006 0.8625 0.5000
Cr 0.0628 0.6330 0.5000
Cr 0.9372 0.3670 0.5000
Cr 0.5628 0.1330 0.0000
Cr 0.4372 0.8670 0.0000
Cr 0.3670 0.0628 0.5000
Cr 0.1330 0.4372 0.0000
Cr 0.6330 0.9372 0.5000
Cr 0.8670 0.5628 0.0000